Entry 1:
# CaLa3Zn

An optimized crystal structure of CaLa3Zn (GGA-PBEsol, the Alexandria database).

Uncorrected energy (eV per cell): -15.03
SG: No. 221

abc: 5.655 5.655 5.655
angles: 90.00 90.00 90.00
Atoms (fractional coordinates):
1 Zn 0.500 0.500 0.500
2 Ca 0.000 0.000 0.000
3 La 0.000 0.500 0.000
4 La 0.000 0.000 0.500
5 La 0.500 0.000 0.000

Entry 2:
# CaLa4Zn

An optimized crystal structure of CaLa4Zn (GGA-PBEsol, the Alexandria database).

Uncorrected energy (eV per cell): -23.09
SG: No. 216

abc: 6.530 6.530 6.530
angles: 60.00 60.00 60.00
Atoms (fractional coordinates):
1 Ca 0.000 0.000 0.000
2 La 0.378 0.378 0.378
3 La 0.378 0.378 0.865
4 La 0.865 0.378 0.378
5 La 0.378 0.865 0.378
6 Zn 0.750 0.750 0.750

Entry 3:
# CaLa2Zr

An optimized crystal structure of CaLa2Zr (GGA-PBEsol, the Alexandria database).

E above lowest polymorph (eV/atom): 0.000
SG: No. 47

abc: 3.597 4.561 7.732
angles: 90.00 90.00 90.00
Atoms (fractional coordinates):
1 Ca 0.500 0.500 0.500
2 Zr 0.500 0.500 0.000
3 La 0.000 0.000 0.784
4 La 0.000 0.000 0.216